Density functional theory data (GGA-PBE) for a relaxed structure of Pr2YIn3AgPd2.

Calculated values
Magnetic moment: 0.006 μB/f.u.
Uncorrected energy: -4.83 eV per atom

Unit cell a=3.9313 b=7.9140 c=7.9140 alpha=119.92 beta=90.00 gamma=90.00
With the nearest neighbours (Å) after each atom.
Fractional positions:
Pr: 0.0000 0.2049 0.7951  4 Pd 3.11-3.12, 1 Ag 3.25, 6 In 3.25-3.49
Pr: 0.0000 0.7951 0.2049  4 Pd 3.11-3.12, 1 Ag 3.25, 6 In 3.25-3.49
Y: 0.0000 0.3863 0.3863  4 Pd 3.07, 1 Ag 3.22, 6 In 3.22-3.43
In: 0.5000 0.0639 0.0639  2 Pd 2.90, 2 Ag 2.91, 2 Y 3.22
In: 0.5000 0.5298 0.7905  2 Ag 2.86, 2 Pd 2.92-3.02
In: 0.5000 0.7905 0.5298  2 Ag 2.86, 2 Pd 2.92-3.02
Ag: 0.0000 0.7930 0.7930  6 In 2.86-2.91
Pd: 0.5000 0.1326 0.4600  3 In 2.90-3.02, 2 Y 3.07, 4 Pr 3.11-3.12
Pd: 0.5000 0.4600 0.1326  3 In 2.90-3.02, 2 Y 3.07, 4 Pr 3.11-3.12

Density functional theory data (GGA-PBE) for a relaxed structure of InAg3PdS4.

Calculated values
Uncorrected energy: -3.73 eV per atom

Unit cell a=5.9043 b=5.9043 c=5.9043 alpha=90.00 beta=90.00 gamma=90.00
With the nearest neighbours (Å) after each atom.
Fractional positions:
In: 0.0000 0.0000 0.0000  4 S 2.56
Ag: 0.0000 0.5000 0.5000  4 S 2.55
Ag: 0.5000 0.0000 0.5000  4 S 2.55
Ag: 0.5000 0.5000 0.0000  4 S 2.55
Pd: 0.5000 0.5000 0.5000  4 S 2.55
S: 0.2508 0.2508 0.2508  1 Pd 2.55, 3 Ag 2.55, 1 In 2.56
S: 0.2508 0.7492 0.7492  1 Pd 2.55, 3 Ag 2.55, 1 In 2.56
S: 0.7492 0.2508 0.7492  1 Pd 2.55, 3 Ag 2.55, 1 In 2.56
S: 0.7492 0.7492 0.2508  1 Pd 2.55, 3 Ag 2.55, 1 In 2.56

uncorrected energy of number 1 (Pr2YIn3AgPd2)?
-4.83 eV per atom